No. 1
VASP calculation (GGA-PBEsol) on LiSe2I after structural relaxation.

Unit cell a=5.2663 b=5.2663 c=13.8293 alpha=90.00 beta=90.00 gamma=120.00
With the nearest neighbours (Å) after each atom.
Element x y z (fractional)
Li1 0.0000 0.0000 0.0000  2 Se 2.45
Li2 0.3333 0.6667 0.6667  2 Se 2.45
Li3 0.6667 0.3333 0.3333  2 Se 2.45
Se1 0.0000 0.0000 0.1773  1 Li 2.45
Se2 0.0000 0.0000 0.8227  1 Li 2.45
Se3 0.3333 0.6667 0.4894  1 Li 2.45
Se4 0.3333 0.6667 0.8440  1 Li 2.45
Se5 0.6667 0.3333 0.1560  1 Li 2.45
Se6 0.6667 0.3333 0.5106  1 Li 2.45
I1 0.0000 0.0000 0.5000  6 Se 3.04
I2 0.3333 0.6667 0.1667  6 Se 3.04
I3 0.6667 0.3333 0.8333  6 Se 3.04

Summary:
Crystal system: trigonal
Energy relative to the elements, uncorrected, eV per atom: -0.10
Density of states at the Fermi level, states/eV/cell: 2.841

---

No. 2
VASP calculation (GGA-PBEsol) on HfCo2Te after structural relaxation.

Unit cell a=4.1260 b=4.1260 c=15.9579 alpha=90.00 beta=90.00 gamma=90.00
With the nearest neighbours (Å) after each atom.
Element x y z (fractional)
Hf1 0.0000 0.0000 0.0000  4 Co 2.50
Hf2 0.0000 0.5000 0.2500  4 Co 2.50
Hf3 0.5000 0.0000 0.7500  4 Co 2.50
Hf4 0.5000 0.5000 0.5000  4 Co 2.50
Co1 0.2364 0.2500 0.6250  2 Te 2.45, 2 Hf 2.50
Co2 0.2500 0.7364 0.8750  2 Te 2.45, 2 Hf 2.50
Co3 0.2500 0.7636 0.3750  2 Te 2.45, 2 Hf 2.50
Co4 0.2636 0.2500 0.1250  2 Te 2.45, 2 Hf 2.50
Co5 0.7364 0.7500 0.1250  2 Te 2.45, 2 Hf 2.50
Co6 0.7500 0.2364 0.3750  2 Te 2.45, 2 Hf 2.50
Co7 0.7500 0.2636 0.8750  2 Te 2.45, 2 Hf 2.50
Co8 0.7636 0.7500 0.6250  2 Te 2.45, 2 Hf 2.50
Te1 0.0000 0.0000 0.5000  4 Co 2.45
Te2 0.0000 0.5000 0.7500  4 Co 2.45
Te3 0.5000 0.0000 0.2500  4 Co 2.45
Te4 0.5000 0.5000 0.0000  4 Co 2.45

Summary:
Crystal system: tetragonal
Energy relative to the elements, uncorrected, eV per atom: 0.20
Density of states at the Fermi level, states/eV/cell: 9.096

---

No. 3
VASP calculation (GGA-PBEsol) on NiSbRu after structural relaxation.

Unit cell a=3.0343 b=3.0343 c=5.7891 alpha=90.00 beta=90.00 gamma=120.00
With the nearest neighbours (Å) after each atom.
Element x y z (fractional)
Ni1 0.0000 0.0000 0.0000  3 Sb 2.58, 3 Ru 2.59
Sb1 0.6667 0.3333 0.3265  3 Ni 2.58, 3 Ru 2.65
Ru1 0.3333 0.6667 0.6705  3 Ni 2.59, 3 Sb 2.65

Summary:
Crystal system: trigonal
Energy relative to the elements, uncorrected, eV per atom: 0.38
Density of states at the Fermi level, states/eV/cell: 2.892